Be2SbRu | GGA-PBE | relaxed

a b c (Å): 3.1376 3.1375 5.4368
angles (deg): 90.00 90.00 90.00
Fractional coordinates of all 4 atoms:
1 Be 0.0000 0.0000 0.4422
2 Be 0.0000 0.0000 0.0578
3 Ru 0.5000 0.5000 0.2500
4 Sb 0.5000 0.5000 0.7500

Computed properties:
The total energy is -5.21 eV/atom. The value obtained for the density of states at the Fermi level is 0.85 states/eV/cell. Its total magnetic moment is 0.000 μB/atom.

LaGa2Si2 | GGA-PBE | relaxed

a b c (Å): 4.6975 4.6975 5.7178
angles (deg): 65.75 65.75 90.00
Fractional coordinates of all 5 atoms:
1 La 0.0000 0.0000 0.0000
2 Si 0.2500 0.7500 0.5000
3 Si 0.7500 0.2500 0.5000
4 Ga 0.6367 0.6367 0.7266
5 Ga 0.3633 0.3633 0.2734

Computed properties:
The total energy is -4.69 eV/atom. The value obtained for the density of states at the Fermi level is 1.75 states/eV/cell. Its total magnetic moment is 0.000 μB/atom.

ZrNiAgRh | GGA-PBE | relaxed

a b c (Å): 4.4997 4.4997 4.4997
angles (deg): 60.00 60.00 60.00
Fractional coordinates of all 4 atoms:
1 Rh 0.2500 0.2500 0.2500
2 Ag 0.5000 0.5000 0.5000
3 Zr 0.0000 0.0000 0.0000
4 Ni 0.7500 0.7500 0.7500

Computed properties:
The total energy is -6.43 eV/atom. The value obtained for the density of states at the Fermi level is 1.92 states/eV/cell. The calculation puts the formation energy at -0.295 eV per atom. Its total magnetic moment is 0.000 μB/atom.

Al2Cd2Rh | GGA-PBE | relaxed

a b c (Å): 3.6895 3.6895 7.6236
angles (deg): 76.00 76.00 90.00
Fractional coordinates of all 5 atoms:
1 Al 0.4133 0.4133 0.1735
2 Al 0.5867 0.5867 0.8265
3 Cd 0.2500 0.7500 0.5000
4 Cd 0.7500 0.2500 0.5000
5 Rh 0.0000 0.0000 0.0000

Computed properties:
The total energy is -3.05 eV/atom. The value obtained for the density of states at the Fermi level is 1.98 states/eV/cell. The calculation puts the formation energy at 0.288 eV per atom. Its total magnetic moment is 0.000 μB/atom. For the energy above the lowest structure with this stoichiometry, the calculation gives 0.336 eV per atom.

ZrSbRhI2 | GGA-PBE | relaxed

a b c (Å): 5.2567 5.2567 5.2453
angles (deg): 90.00 90.00 90.00
Each line ends with the local moment (μB).
Fractional coordinates of all 5 atoms:
1 Zr 0.5000 0.5000 0.5000  0.95
2 I 0.5000 0.0000 0.0000  -0.05
3 I 0.0000 0.5000 0.0000  -0.05
4 Sb 0.0000 0.0000 0.5000  -0.09
5 Rh 0.0000 0.0000 0.0000  -0.04

Computed properties:
The total energy is -4.12 eV/atom. The value obtained for the density of states at the Fermi level is 6.69 states/eV/cell. Its total magnetic moment is 0.233 μB/atom. For the energy above the lowest structure with this stoichiometry, the calculation gives 0.000 eV per atom.

Tm2MnRh | GGA-PBE | relaxed

a b c (Å): 3.4082 3.4082 6.8960
angles (deg): 90.00 90.00 90.00
Each line ends with the local moment (μB).
Fractional coordinates of all 4 atoms:
1 Mn 0.5000 0.5000 0.5000  3.17
2 Tm 0.0000 0.0000 0.7595  -0.20
3 Tm 0.0000 0.0000 0.2405  -0.20
4 Rh 0.5000 0.5000 0.0000  -0.09

Computed properties:
The total energy is -6.76 eV/atom. The value obtained for the density of states at the Fermi level is 3.40 states/eV/cell. The calculation puts the formation energy at -0.396 eV per atom. Its total magnetic moment is 0.678 μB/atom.

GeIr2Se | GGA-PBE | relaxed

a b c (Å): 5.4406 5.4406 6.9268
angles (deg): 66.88 66.88 90.00
Fractional coordinates of all 8 atoms:
1 Se 0.7500 0.2500 0.5000
2 Se 0.0000 0.0000 0.0000
3 Ge 0.2500 0.7500 0.5000
4 Ge 0.5000 0.5000 0.0000
5 Ir 0.3750 0.3702 0.7500
6 Ir 0.1202 0.6250 0.2500
7 Ir 0.6298 0.1250 0.2500
8 Ir 0.8750 0.8798 0.7500

Computed properties:
The total energy is -6.27 eV/atom. The value obtained for the density of states at the Fermi level is 4.18 states/eV/cell. Its total magnetic moment is 0.000 μB/atom. For the energy above the lowest structure with this stoichiometry, the calculation gives 0.000 eV per atom.

MgTc | GGA-PBE | relaxed

a b c (Å): 2.8240 2.8240 4.6553
angles (deg): 90.00 90.00 60.00
Fractional coordinates of all 2 atoms:
1 Tc 0.3333 0.3333 0.5000
2 Mg 0.0000 0.0000 0.0000

Computed properties:
The total energy is -5.67 eV/atom. The value obtained for the density of states at the Fermi level is 2.32 states/eV/cell. The calculation puts the formation energy at 0.308 eV per atom. Its total magnetic moment is 0.000 μB/atom. For the energy above the lowest structure with this stoichiometry, the calculation gives 0.332 eV per atom.

Pr6CoOs2Br3 | GGA-PBE | relaxed

a b c (Å): 7.1130 7.1130 8.2597
angles (deg): 98.27 98.27 119.98
Fractional coordinates of all 12 atoms:
1 Os 0.6662 0.3338 0.0000
2 Os 0.3338 0.6662 0.0000
3 Br 0.1684 0.8316 0.5000
4 Br 0.8316 0.1684 0.5000
5 Br 0.5000 0.5000 0.5000
6 Pr 0.3953 0.0655 0.1967
7 Pr 0.7368 0.7368 0.1976
8 Pr 0.6047 0.9345 0.8033
9 Pr 0.9345 0.6047 0.8033
10 Pr 0.0655 0.3953 0.1967
11 Pr 0.2632 0.2632 0.8024
12 Co 0.0000 0.0000 0.0000

Computed properties:
The total energy is -5.93 eV/atom. The value obtained for the density of states at the Fermi level is 5.71 states/eV/cell. Its total magnetic moment is 0.000 μB/atom.

Ce3ZnO | GGA-PBE | relaxed

a b c (Å): 4.8192 4.8192 4.8192
angles (deg): 90.00 90.00 90.00
Each line ends with the local moment (μB).
Fractional coordinates of all 5 atoms:
1 Zn 0.5000 0.5000 0.5000  0.00
2 Ce 0.0000 0.5000 0.0000  0.53
3 Ce 0.5000 0.0000 0.0000  0.53
4 Ce 0.0000 0.0000 0.5000  0.53
5 O 0.0000 0.0000 0.0000  -0.02

Computed properties:
The total energy is -5.96 eV/atom. The value obtained for the density of states at the Fermi level is 9.81 states/eV/cell. Its total magnetic moment is 0.356 μB/atom.

Rb2PdPtBr6 | GGA-PBE | relaxed

a b c (Å): 7.4488 7.4488 13.3983
angles (deg): 73.86 73.86 60.00
Fractional coordinates of all 20 atoms:
1 Br 0.6240 0.6240 0.6188
2 Br 0.2050 0.2050 0.8777
3 Br 0.2050 0.7123 0.8777
4 Br 0.7950 0.7950 0.1223
5 Br 0.3760 0.8669 0.3812
6 Br 0.7123 0.2050 0.8777
7 Br 0.1331 0.6240 0.6188
8 Br 0.6240 0.1331 0.6188
9 Br 0.7950 0.2877 0.1223
10 Br 0.2877 0.7950 0.1223
11 Br 0.8669 0.3760 0.3812
12 Br 0.3760 0.3760 0.3812
13 Rb 0.8808 0.8808 0.3576
14 Rb 0.2986 0.2986 0.1041
15 Rb 0.7014 0.7014 0.8959
16 Rb 0.1192 0.1192 0.6424
17 Pt 0.5000 0.5000 0.5000
18 Pt 0.0000 0.0000 0.0000
19 Pd 0.4145 0.4145 0.7566
20 Pd 0.5855 0.5855 0.2434

Computed properties:
The total energy is -3.13 eV/atom. The value obtained for the density of states at the Fermi level is 10.63 states/eV/cell. Its total magnetic moment is 0.001 μB/atom. For the energy above the lowest structure with this stoichiometry, the calculation gives 0.030 eV per atom.

ZrPtCl2 | GGA-PBE | relaxed

a b c (Å): 3.0421 3.0419 9.3299
angles (deg): 90.00 90.00 90.00
Each line ends with the local moment (μB).
Fractional coordinates of all 4 atoms:
1 Pt 0.5000 0.5000 0.2500  0.55
2 Zr 0.5000 0.5000 0.7500  0.01
3 Cl 0.0000 0.0000 0.5793  0.00
4 Cl 0.0000 0.0000 0.9207  0.00

Computed properties:
The total energy is -4.94 eV/atom. The value obtained for the density of states at the Fermi level is 4.87 states/eV/cell. Its total magnetic moment is 0.146 μB/atom. For the energy above the lowest structure with this stoichiometry, the calculation gives 0.793 eV per atom.

BeAg2Hg | GGA-PBE | relaxed

a b c (Å): 4.5788 4.5788 4.5788
angles (deg): 60.00 60.00 60.00
Fractional coordinates of all 4 atoms:
1 Ag 0.7500 0.7500 0.7500
2 Ag 0.2500 0.2500 0.2500
3 Hg 0.5000 0.5000 0.5000
4 Be 0.0000 0.0000 0.0000

Computed properties:
The total energy is -2.11 eV/atom. The value obtained for the density of states at the Fermi level is 1.13 states/eV/cell. The calculation puts the formation energy at 0.326 eV per atom. Its total magnetic moment is 0.000 μB/atom. For the energy above the lowest structure with this stoichiometry, the calculation gives 0.175 eV per atom.

ErHfNiPt | GGA-PBE | relaxed

a b c (Å): 4.7171 4.7171 4.7171
angles (deg): 60.00 60.00 60.00
Fractional coordinates of all 4 atoms:
1 Hf 0.5000 0.5000 0.5000
2 Er 0.0000 0.0000 0.0000
3 Ni 0.7500 0.7500 0.7500
4 Pt 0.2500 0.2500 0.2500

Computed properties:
The total energy is -7.32 eV/atom. The value obtained for the density of states at the Fermi level is 3.30 states/eV/cell. The calculation puts the formation energy at -0.731 eV per atom. Its total magnetic moment is 0.000 μB/atom.

PrPaI2 | GGA-PBE | relaxed

a b c (Å): 3.7766 3.7766 11.2950
angles (deg): 80.38 80.38 60.00
Each line ends with the local moment (μB).
Fractional coordinates of all 4 atoms:
1 Pa 0.0000 0.0000 0.0000  1.80
2 I 0.0949 0.0949 0.7154  -0.01
3 I 0.9051 0.9051 0.2846  -0.01
4 Pr 0.5000 0.5000 0.5000  0.00

Computed properties:
The total energy is -4.69 eV/atom. The value obtained for the density of states at the Fermi level is 5.92 states/eV/cell. Its total magnetic moment is 0.642 μB/atom.

K3Rb4Au3 | GGA-PBE | relaxed

a b c (Å): 10.7873 10.7873 10.7873
angles (deg): 109.47 109.47 109.47
Fractional coordinates of all 20 atoms:
1 Rb 0.1616 0.6616 0.6616
2 Rb 0.3384 0.5000 0.0000
3 Rb 0.6616 0.1616 0.1616
4 Rb 0.0000 0.0000 0.3384
5 Rb 0.5000 0.8384 0.5000
6 Rb 0.0000 0.0000 0.8384
7 Rb 0.8384 0.5000 0.0000
8 Rb 0.5000 0.3384 0.5000
9 Au 0.6250 0.8750 0.2500
10 Au 0.1250 0.7500 0.3750
11 Au 0.7500 0.1250 0.8750
12 Au 0.2500 0.3750 0.6250
13 Au 0.3750 0.2500 0.1250
14 Au 0.8750 0.6250 0.7500
15 K 0.3750 0.1250 0.7500
16 K 0.6250 0.7500 0.8750
17 K 0.1250 0.3750 0.2500
18 K 0.8750 0.2500 0.6250
19 K 0.2500 0.8750 0.1250
20 K 0.7500 0.6250 0.3750

Computed properties:
The total energy is -1.85 eV/atom. The value obtained for the density of states at the Fermi level is 16.29 states/eV/cell. The calculation puts the formation energy at -0.154 eV per atom. Its total magnetic moment is 0.000 μB/atom.

La2ZnCl | GGA-PBE | relaxed

a b c (Å): 5.2832 5.2832 5.2832
angles (deg): 60.00 60.00 60.00
Each line ends with the local moment (μB).
Fractional coordinates of all 4 atoms:
1 Zn 0.7500 0.7500 0.7500  0.02
2 La 0.2500 0.2500 0.2500  0.11
3 La 0.0000 0.0000 0.0000  0.12
4 Cl 0.5000 0.5000 0.5000  0.01

Computed properties:
The total energy is -3.36 eV/atom. The value obtained for the density of states at the Fermi level is 6.52 states/eV/cell. Its total magnetic moment is 0.123 μB/atom. For the energy above the lowest structure with this stoichiometry, the calculation gives 0.810 eV per atom.

KTb2NpO8 | GGA-PBE | relaxed

a b c (Å): 3.9704 5.3346 8.0420
angles (deg): 90.00 90.00 94.97
Fractional coordinates of all 12 atoms:
1 Np 0.0000 0.0000 0.0000
2 K 0.0000 0.0000 0.5000
3 O 0.5335 0.7688 0.0000
4 O 0.0265 0.7587 0.1979
5 O 0.4465 0.6327 0.5000
6 O 0.9735 0.2414 0.1979
7 O 0.0265 0.7586 0.8021
8 O 0.9735 0.2413 0.8021
9 O 0.5535 0.3673 0.5000
10 O 0.4665 0.2312 0.0000
11 Tb 0.5000 0.5000 0.7760
12 Tb 0.5000 0.5000 0.2240

Computed properties:
The total energy is -7.88 eV/atom. The value obtained for the density of states at the Fermi level is 2.61 states/eV/cell. Its total magnetic moment is 0.003 μB/atom.

NdYEr5Tm2 | GGA-PBE | relaxed

a b c (Å): 5.5598 10.1971 10.5433
angles (deg): 90.00 90.00 105.82
Fractional coordinates of all 18 atoms:
1 Er 0.0180 0.0361 0.0253
2 Er 0.7178 0.4355 0.8104
3 Er 0.6109 0.2217 0.5225
4 Er 0.9820 0.9639 0.5253
5 Er 0.2988 0.5975 0.7110
6 Er 0.7012 0.4025 0.2110
7 Er 0.5218 0.0436 0.2363
8 Er 0.3891 0.7783 0.0225
9 Er 0.4782 0.9564 0.7363
10 Er 0.2822 0.5645 0.3104
11 Tm 0.1135 0.2269 0.3192
12 Tm 0.8897 0.7794 0.2355
13 Tm 0.8865 0.7731 0.8192
14 Tm 0.1103 0.2206 0.7355
15 Nd 0.5834 0.1668 0.9516
16 Nd 0.4166 0.8332 0.4516
17 Y 0.7995 0.5989 0.5123
18 Y 0.2005 0.4011 0.0123

Computed properties:
The total energy is -4.61 eV/atom. The value obtained for the density of states at the Fermi level is 29.53 states/eV/cell. The calculation puts the formation energy at 0.165 eV per atom. Its total magnetic moment is 0.000 μB/atom.

Li4MgGa4 | GGA-PBE | relaxed

a b c (Å): 5.7801 5.7801 9.3599
angles (deg): 90.00 90.00 90.00
Fractional coordinates of all 18 atoms:
1 Li 0.5000 0.7785 0.0675
2 Li 0.5000 0.2215 0.0675
3 Li 0.0000 0.7215 0.4325
4 Li 0.2785 0.0000 0.5675
5 Li 0.7785 0.5000 0.9325
6 Li 0.0000 0.2785 0.4325
7 Li 0.2215 0.5000 0.9325
8 Li 0.7215 0.0000 0.5675
9 Ga 0.7335 0.0000 0.2737
10 Ga 0.0000 0.7335 0.7263
11 Ga 0.7665 0.5000 0.2263
12 Ga 0.5000 0.2335 0.7737
13 Ga 0.5000 0.7665 0.7737
14 Ga 0.2335 0.5000 0.2263
15 Ga 0.0000 0.2665 0.7263
16 Ga 0.2665 0.0000 0.2737
17 Mg 0.5000 0.5000 0.5000
18 Mg 0.0000 0.0000 0.0000

Computed properties:
The total energy is -2.52 eV/atom. The value obtained for the density of states at the Fermi level is 3.00 states/eV/cell. The calculation puts the formation energy at -0.146 eV per atom. Its total magnetic moment is 0.000 μB/atom. For the energy above the lowest structure with this stoichiometry, the calculation gives 0.054 eV per atom.